Run A
Below is CoMo2Se after structural relaxation, with properties calculated at the PBE level.

a = 3.1987 Å, b = 3.1987 Å, c = 5.7691 Å
α = 90.00°, β = 90.00°, γ = 90.00°
With the nearest neighbours (Å) after each atom.
Atoms (fractional coordinates):
Co1 0.5000 0.5000 0.7814  5 Mo 2.49-2.76
Mo1 0.0000 0.0000 0.9601  4 Co 2.49, 1 Se 2.66
Mo2 0.5000 0.5000 0.2597  4 Se 2.65, 1 Co 2.76, 4 Mo 2.85
Se1 0.0000 0.0000 0.4988  5 Mo 2.65-2.66, 4 Co 2.79

Computed properties:
Symmetry: P4mm (99)
Crystal system: tetragonal



Run B
Below is CoMo2Se after structural relaxation, with properties calculated at the PBE level.

a = 4.7343 Å, b = 4.7343 Å, c = 4.4047 Å
α = 82.30°, β = 82.30°, γ = 37.81°
With the nearest neighbours (Å) after each atom.
Atoms (fractional coordinates):
Co1 0.2500 0.2500 0.2500  6 Mo 2.66-2.71, 4 Se 2.68
Mo1 0.9900 0.9900 0.0230  4 Mo 2.55-2.84, 1 Se 2.61, 3 Co 2.66-2.71
Mo2 0.5100 0.5100 0.4770  4 Mo 2.55-2.84, 1 Se 2.61, 3 Co 2.66-2.71
Se1 0.7500 0.7500 0.7500  6 Mo 2.61-2.90, 4 Co 2.68

Computed properties:
Symmetry: C2/m (12)
Crystal system: monoclinic



Run C
Below is CoMo2Se after structural relaxation, with properties calculated at the PBE level.

a = 4.9709 Å, b = 4.9709 Å, c = 4.9709 Å
α = 135.97°, β = 135.97°, γ = 64.03°
With the nearest neighbours (Å) after each atom.
Atoms (fractional coordinates):
Co1 0.7500 0.2500 0.5000  4 Se 2.64, 8 Mo 2.81
Mo1 0.0000 0.0000 0.0000  4 Mo 2.64, 4 Se 2.81, 4 Co 2.81
Mo2 0.5000 0.5000 0.0000  4 Mo 2.64, 4 Se 2.81, 4 Co 2.81
Se1 0.2500 0.7500 0.5000  4 Co 2.64, 8 Mo 2.81

Computed properties:
Symmetry: I4/mmm (139)
Crystal system: tetragonal



Run D
Below is CoMo2Se after structural relaxation, with properties calculated at the PBE level.

a = 4.3940 Å, b = 4.3940 Å, c = 4.3940 Å
α = 60.00°, β = 60.00°, γ = 60.00°
With the nearest neighbours (Å) after each atom.
Atoms (fractional coordinates):
Co1 0.5000 0.5000 0.5000  4 Se 2.69, 4 Mo 2.69
Mo1 0.0000 0.0000 0.0000  4 Mo 2.69, 4 Se 2.69
Mo2 0.2500 0.2500 0.2500  4 Mo 2.69, 4 Co 2.69
Se1 0.7500 0.7500 0.7500  4 Mo 2.69, 4 Co 2.69

Computed properties:
Symmetry: F-43m (216)
Crystal system: cubic



The structure with the greatest stability is run A.



Run A
Below is CoMo2Se after structural relaxation, with properties calculated at the PBE level.

a = 3.1623 Å, b = 4.2660 Å, c = 4.3980 Å
α = 90.00°, β = 90.00°, γ = 90.00°
With the nearest neighbours (Å) after each atom.
Atoms (fractional coordinates):
Co1 0.0000 0.5000 0.5000  4 Se 2.66, 4 Mo 2.71
Mo1 0.0000 0.0000 0.0000  4 Mo 2.66, 4 Se 2.71
Mo2 0.5000 0.5000 0.0000  4 Mo 2.66, 4 Co 2.71
Se1 0.5000 0.0000 0.5000  4 Co 2.66, 4 Mo 2.71

Computed properties:
Symmetry: Pmmm (47)
Crystal system: orthorhombic



Run B
Below is CoMo2Se after structural relaxation, with properties calculated at the PBE level.

a = 8.4880 Å, b = 8.4880 Å, c = 8.4880 Å
α = 19.69°, β = 19.69°, γ = 19.69°
With the nearest neighbours (Å) after each atom.
Atoms (fractional coordinates):
Co1 0.7499 0.7499 0.7499  3 Mo 2.55, 3 Se 2.67
Mo1 0.0063 0.0063 0.0063  3 Co 2.55
Mo2 0.2440 0.2440 0.2440  3 Se 2.56
Se1 0.4998 0.4998 0.4998  3 Mo 2.56, 3 Co 2.67

Computed properties:
Symmetry: R3m (160)
Crystal system: trigonal



Run C
Below is CoMo2Se after structural relaxation, with properties calculated at the PBE level.

a = 4.0852 Å, b = 2.9470 Å, c = 4.9909 Å
α = 75.27°, β = 90.00°, γ = 90.00°
With the nearest neighbours (Å) after each atom.
Atoms (fractional coordinates):
Co1 0.5000 0.5840 0.7412  2 Se 2.32, 1 Mo 2.53
Mo1 0.0000 0.9834 0.9836  3 Se 2.57-2.72, 2 Mo 2.70, 4 Co 2.77-2.78
Mo2 0.5000 0.2527 0.2617  3 Co 2.53-2.81, 2 Mo 2.70, 2 Se 2.74
Se1 0.0000 0.6798 0.5134  2 Co 2.32, 1 Mo 2.57

Computed properties:
Symmetry: Pm (6)
Crystal system: monoclinic



The structure with the greatest stability is run C.



Run A
Below is CoMo2Se2 after structural relaxation, with properties calculated at the PBE level.

a = 7.1164 Å, b = 7.1164 Å, c = 3.0939 Å
α = 90.00°, β = 90.00°, γ = 90.00°
With the nearest neighbours (Å) after each atom.
Atoms (fractional coordinates):
Mo1 0.1510 0.6510 0.5000  6 Se 2.51-2.66
Mo2 0.6510 0.8490 0.5000  6 Se 2.51-2.66
Mo3 0.8490 0.3490 0.5000  6 Se 2.51-2.66
Mo4 0.3490 0.1510 0.5000  6 Se 2.51-2.66
Co1 0.0000 0.0000 0.0000  4 Se 2.70
Co2 0.5000 0.5000 0.0000  4 Se 2.70
Se1 0.3475 0.8475 0.0000  6 Mo 2.51-2.66, 2 Co 2.70
Se2 0.8475 0.6525 0.0000  6 Mo 2.51-2.66, 2 Co 2.70
Se3 0.6525 0.1525 0.0000  6 Mo 2.51-2.66, 2 Co 2.70
Se4 0.1525 0.3475 0.0000  6 Mo 2.51-2.66, 2 Co 2.70

Computed properties:
Symmetry: P4/mbm (127)
Crystal system: tetragonal



Run B
Below is CoMo2Se2 after structural relaxation, with properties calculated at the PBE level.

a = 4.4179 Å, b = 4.4179 Å, c = 5.5868 Å
α = 66.71°, β = 66.71°, γ = 90.00°
With the nearest neighbours (Å) after each atom.
Atoms (fractional coordinates):
Mo1 0.7500 0.2500 0.5000  4 Se 2.46
Mo2 0.2500 0.7500 0.5000  4 Se 2.46
Co1 0.0000 0.0000 0.0000  8 Mo 3.20, 10 Se 3.36-3.39
Se1 0.3657 0.3657 0.2685  4 Mo 2.46, 1 Se 2.49
Se2 0.6343 0.6343 0.7315  4 Mo 2.46, 1 Se 2.49

Computed properties:
Symmetry: I4/mmm (139)
Crystal system: tetragonal



The structure with the greatest stability is run A.



Run A
Below is SrCoMo2 after structural relaxation, with properties calculated at the PBE level.

a = 4.8602 Å, b = 4.8602 Å, c = 9.0191 Å
α = 74.37°, β = 74.37°, γ = 90.00°
With the nearest neighbours (Å) after each atom.
Atoms (fractional coordinates):
Sr1 0.0000 0.0000 0.0000  8 Mo 3.42, 4 Co 3.44
Sr2 0.7500 0.2500 0.5000  8 Mo 3.42, 4 Co 3.44
Mo1 0.3749 0.1250 0.2500  2 Co 2.41, 2 Mo 2.43
Mo2 0.3751 0.6250 0.2500  2 Co 2.41, 2 Mo 2.43
Mo3 0.3750 0.6251 0.7500  2 Co 2.41, 2 Mo 2.43
Mo4 0.8750 0.6249 0.7500  2 Co 2.41, 2 Mo 2.43
Co1 0.5000 0.5000 0.0000  4 Mo 2.41
Co2 0.2500 0.7500 0.5000  4 Mo 2.41

Computed properties:
Symmetry: I4_1/amd (141)
Crystal system: tetragonal



Run B
Below is SrCoMo2 after structural relaxation, with properties calculated at the PBE level.

a = 3.2988 Å, b = 3.2988 Å, c = 7.4230 Å
α = 90.00°, β = 90.00°, γ = 90.00°
With the nearest neighbours (Å) after each atom.
Atoms (fractional coordinates):
Co1 0.5000 0.5000 0.7500  8 Mo 2.60
Mo1 0.0000 0.0000 0.9032  1 Mo 2.27
Mo2 0.0000 0.0000 0.5968  1 Mo 2.27
Sr1 0.5000 0.5000 0.2500  4 Sr 3.30, 8 Mo 3.47

Computed properties:
Symmetry: P4/mmm (123)
Crystal system: tetragonal



Run C
Below is SrCoMo2 after structural relaxation, with properties calculated at the PBE level.

a = 4.9348 Å, b = 4.9348 Å, c = 2.8739 Å
α = 90.00°, β = 90.00°, γ = 90.00°
With the nearest neighbours (Å) after each atom.
Atoms (fractional coordinates):
Co1 0.0000 0.5000 0.5000  8 Mo 2.86, 2 Co 2.87
Mo1 0.0000 0.0000 0.0000  4 Co 2.86, 4 Sr 2.86, 2 Mo 2.87
Mo2 0.5000 0.5000 0.0000  4 Co 2.86, 4 Sr 2.86, 2 Mo 2.87
Sr1 0.5000 0.0000 0.5000  8 Mo 2.86, 2 Sr 2.87

Computed properties:
Symmetry: P4/mmm (123)
Crystal system: tetragonal



Run D
Below is SrCoMo2 after structural relaxation, with properties calculated at the PBE level.

a = 5.7027 Å, b = 5.7027 Å, c = 5.7027 Å
α = 140.86°, β = 140.86°, γ = 56.55°
With the nearest neighbours (Å) after each atom.
Atoms (fractional coordinates):
Co1 0.7500 0.2500 0.5000  4 Sr 2.70
Mo1 0.0000 0.0000 0.0000  4 Mo 2.70
Mo2 0.5000 0.5000 0.0000  4 Mo 2.70
Sr1 0.2500 0.7500 0.5000  4 Co 2.70

Computed properties:
Symmetry: I4/mmm (139)
Crystal system: tetragonal



The structure with the greatest stability is run B.



Run A
Below is SrCoMo2 after structural relaxation, with properties calculated at the PBE level.

a = 5.7468 Å, b = 5.7468 Å, c = 2.6776 Å
α = 90.00°, β = 90.00°, γ = 124.76°
With the nearest neighbours (Å) after each atom.
Atoms (fractional coordinates):
Co1 0.0000 0.5000 0.5000  2 Sr 2.66, 2 Co 2.68
Mo1 0.0000 0.0000 0.0000  4 Mo 2.66-2.68
Mo2 0.5000 0.5000 0.0000  4 Mo 2.66-2.68
Sr1 0.5000 0.0000 0.5000  2 Co 2.66, 2 Sr 2.68

Computed properties:
Symmetry: Cmmm (65)
Crystal system: orthorhombic



Run B
Below is SrCoMo2 after structural relaxation, with properties calculated at the PBE level.

a = 4.7836 Å, b = 4.7836 Å, c = 6.2018 Å
α = 72.29°, β = 72.29°, γ = 40.22°
With the nearest neighbours (Å) after each atom.
Atoms (fractional coordinates):
Co1 0.2789 0.2789 0.1177  4 Mo 2.44
Mo1 0.9913 0.9913 0.0191  2 Co 2.44, 2 Mo 2.49
Mo2 0.7084 0.7084 0.8765  2 Co 2.44, 2 Mo 2.49
Sr1 0.5214 0.5214 0.4866  2 Co 3.14, 2 Sr 3.29, 5 Mo 3.36-3.47

Computed properties:
Symmetry: Cm (8)
Crystal system: monoclinic



The structure with the greatest stability is run B.